VASP calculation (PBE with a Hubbard U) on PaFeSnO6 after structural relaxation.

```
data_PaFeSnO6
_cell_length_a 5.464
_cell_length_b 5.464
_cell_length_c 8.937
_cell_angle_alpha 90.00
_cell_angle_beta 90.00
_cell_angle_gamma 120.00
_symmetry_space_group_name_H-M 'P 1'
_symmetry_Int_Tables_number 1
_symmetry_space_group_name_Hall 'P 1'
loop_
_atom_site_label
_atom_site_type_symbol
_atom_site_fract_x
_atom_site_fract_y
_atom_site_fract_z
Pa1 Pa 0.333 0.667 0.250
Pa2 Pa 0.667 0.333 0.750
Fe1 Fe 0.000 0.000 0.000
Fe2 Fe 0.000 0.000 0.500
Sn1 Sn 0.667 0.333 0.250
Sn2 Sn 0.333 0.667 0.750
O1 O 0.681 0.669 0.126
O2 O 0.988 0.319 0.126
O3 O 0.319 0.988 0.626
O4 O 0.012 0.681 0.874
O5 O 0.331 0.319 0.374
O6 O 0.988 0.669 0.374
O7 O 0.669 0.988 0.874
O8 O 0.681 0.012 0.374
O9 O 0.012 0.331 0.626
O10 O 0.331 0.012 0.126
O11 O 0.669 0.681 0.626
O12 O 0.319 0.331 0.874
```

As for the uncorrected energy: -7.575 eV per atom. As for the total moment: 10.01 μB/cell.